Below is a relaxed structure of Nb2HgW, with properties calculated at the GGA-PBE level.

Values from the calculation:
The calculation puts the size of the total moment at 0.002 μB/atom. The calculation puts the energy relative to the elements at 479 meV/atom.

a b c (Å): 6.6132 6.6132 6.6132
angles (deg): 90.00 90.00 90.00
Space group F-43m (No. 216)
Unique sites:
Nb 0.0000 0.0000 0.0000 x4
Nb 0.2500 0.2500 0.2500 x4
Hg 0.2500 0.2500 0.7500 x4
W 0.0000 0.0000 0.5000 x4